(1)
VASP calculation (GGA-PBE) on Ti4NbIn5 after structural relaxation.

Output
**Crystal system**: tetragonal
**M_tot**: 0.0 Bohr magnetons per cell
**DFT formation energy**: -0.11 eV/atom

a = 2.989 Å, b = 2.989 Å, c = 21.565 Å
α = 90.00°, β = 90.00°, γ = 90.00°
Fractional coordinates of all 10 atoms:
1 In 0.500 0.500 0.302
2 In 0.500 0.500 0.698
3 Ti 0.000 0.000 0.600
4 Nb 0.000 0.000 0.000
5 In 0.500 0.500 0.897
6 Ti 0.000 0.000 0.203
7 Ti 0.000 0.000 0.400
8 In 0.500 0.500 0.500
9 Ti 0.000 0.000 0.797
10 In 0.500 0.500 0.103


(2)
VASP calculation (GGA-PBE) on TiNb4In after structural relaxation.

Output
**Crystal system**: orthorhombic
**M_tot**: 0.0 Bohr magnetons per cell
**DFT formation energy**: -0.07 eV/atom

a = 4.633 Å, b = 3.444 Å, c = 7.305 Å
α = 90.00°, β = 108.49°, γ = 90.00°
Fractional coordinates of all 6 atoms:
1 Nb 0.162 0.500 0.324
2 Nb 0.324 0.000 0.648
3 Ti 0.000 0.000 0.000
4 Nb 0.838 0.500 0.676
5 In 0.500 0.500 0.000
6 Nb 0.676 0.000 0.352


(3)
VASP calculation (GGA-PBE) on TiNb2In after structural relaxation.

Output
**Crystal system**: trigonal
**M_tot**: 0.0 Bohr magnetons per cell
**DFT formation energy**: -0.02 eV/atom

a = 4.722 Å, b = 4.718 Å, c = 4.722 Å
α = 119.96°, β = 90.00°, γ = 120.03°
Fractional coordinates of all 4 atoms:
1 Ti 0.500 0.000 0.501
2 Nb 0.000 0.000 0.999
3 Nb 0.250 0.500 0.750
4 In 0.750 0.500 0.250